PBE-GGA Pu2CdSi3Pt4, relaxed; uncorrected energy = -7.74 eV per atom; magnetization = 10.65 μB/cell; raw formation energy = -0.73 eV per atom; space group = P-4m2 (115)
1.0
4.1519 0.0000 0.0000
0.0000 4.1519 0.0000
0.0000 0.0000 10.8237
Pu Cd Si Pt
2 1 3 4
Cartesian
2.0760 0.0000 2.6565 Pu
0.0000 2.0760 8.1671 Pu
2.0760 2.0760 5.4118 Cd
0.0000 0.0000 5.4118 Si
2.0760 0.0000 9.4770 Si
0.0000 2.0760 1.3467 Si
2.0760 2.0760 0.0000 Pt
0.0000 0.0000 0.0000 Pt
2.0760 0.0000 7.1305 Pt
0.0000 2.0760 3.6932 Pt

---

PBE-GGA Pu2CdSi4Pt3, relaxed; uncorrected energy = -7.65 eV per atom; magnetization = 10.43 μB/cell; raw formation energy = -0.71 eV per atom; space group = P-4m2 (115)
1.0
-2.3199 3.3250 -1.2277
-3.1063 -2.6139 -1.2094
-4.1086 0.5728 9.3150
Pu Cd Si Pt
2 1 4 3
Cartesian
-2.1545 1.8011 1.6410 Pu
-4.6672 -0.8728 6.4554 Pu
-4.7674 0.6419 3.4390 Cd
-2.7131 0.3555 -1.2185 Si
0.0000 0.0000 0.0000 Si
-3.8312 2.0349 5.4424 Si
-2.9905 -1.1066 2.6541 Si
-2.0543 0.2864 4.6575 Pt
-4.7909 2.1687 7.6184 Pt
-2.0308 -1.2404 0.4781 Pt

---

PBE-GGA SmPuCdPt, relaxed; uncorrected energy = -6.96 eV per atom; ΔH_f (0 K) = -455 meV per atom; magnetization = 5.73 μB/cell; space group = F-43m (216)
1.0
-3.1427 -2.2645 -3.4249
1.4265 -0.3891 -4.9547
1.2308 -4.6147 -1.9812
Cd Sm Pt Pu
1 1 1 1
Cartesian
-0.1214 -1.8171 -2.5902 Cd
-0.2427 -3.6342 -5.1804 Sm
-0.3641 -5.4513 -7.7706 Pt
0.0000 0.0000 0.0000 Pu

---

PBE-GGA PuCdSnPt, relaxed; uncorrected energy = -6.66 eV per atom; ΔH_f (0 K) = -342 meV per atom; magnetization = 5.42 μB/cell; space group = F-43m (216)
1.0
-0.1394 -4.7411 -1.5659
4.0801 -2.0993 -1.9736
2.4592 -3.5380 2.5267
Cd Sn Pt Pu
1 1 1 1
Cartesian
1.6000 -2.5946 -0.2532 Cd
0.0000 0.0000 0.0000 Sn
4.7999 -7.7838 -0.7596 Pt
3.1999 -5.1892 -0.5064 Pu

---

PBE-GGA PuThCdPt, relaxed; uncorrected energy = -7.54 eV per atom; ΔH_f (0 K) = -364 meV per atom; magnetization = 5.87 μB/cell; space group = F-43m (216)
1.0
-0.4106 -0.1830 -5.1855
-3.4612 -3.1871 -2.2257
-4.2105 1.9622 -2.3481
Cd Pt Th Pu
1 1 1 1
Cartesian
-2.0206 -0.3520 -2.4398 Cd
-6.0617 -1.0560 -7.3195 Pt
0.0000 0.0000 0.0000 Th
-4.0412 -0.7040 -4.8797 Pu

---

PBE-GGA PuTlCdPt, relaxed; uncorrected energy = -6.13 eV per atom; ΔH_f (0 K) = -214 meV per atom; magnetization = 5.43 μB/cell; space group = F-43m (216)
1.0
-1.1525 -4.9102 -0.0569
3.6693 -3.4485 -0.2912
1.0696 -2.8880 3.9946
Tl Cd Pt Pu
1 1 1 1
Cartesian
0.8966 -2.8117 0.9116 Tl
1.7932 -5.6233 1.8232 Cd
2.6898 -8.4350 2.7348 Pt
0.0000 0.0000 0.0000 Pu

---

PBE-GGA TmPuCdPt, relaxed; uncorrected energy = -6.93 eV per atom; ΔH_f (0 K) = -494 meV per atom; magnetization = 5.54 μB/cell; space group = F-43m (216)
1.0
5.0874 0.0000 0.0000
2.5437 4.4058 0.0000
2.5437 1.4686 4.1539
Cd Tm Pt Pu
1 1 1 1
Cartesian
0.0000 0.0000 0.0000 Cd
7.6312 4.4058 3.1154 Tm
5.0874 2.9372 2.0769 Pt
2.5437 1.4686 1.0385 Pu

---

PBE-GGA YPuCdPt, relaxed; uncorrected energy = -7.42 eV per atom; ΔH_f (0 K) = -479 meV per atom; magnetization = 5.62 μB/cell; space group = F-43m (216)
1.0
5.1266 0.0000 0.0000
2.5633 4.4398 0.0000
2.5633 1.4799 4.1858
Y Cd Pt Pu
1 1 1 1
Cartesian
5.1266 2.9598 2.0929 Y
2.5633 1.4799 1.0465 Cd
7.6899 4.4398 3.1394 Pt
0.0000 0.0000 0.0000 Pu